VASP calculation (PBE) on a relaxed structure of MoRhPb2.

Computed properties:
- Formation energy: 597 meV per atom
- Space group: P2/m, No. 10
- Size of the total moment: 0.0 μB/cell

a = 4.3862 Å, b = 3.1314 Å, c = 5.9666 Å
α = 85.42°, β = 90.00°, γ = 90.00°
Sites, in units of the cell vectors:
Mo1 0.5000 0.7500 0.7500
Pb1 0.0000 0.0493 0.0014
Pb2 0.0000 0.4507 0.4986
Rh1 0.5000 0.2500 0.2500